ZnGaOF2 | SCAN | single point on PBEsol structure

Computed properties:
For the theoretical density, the calculation gives 5.1 g cm⁻³. The density of states at the Fermi level is 1.33 states/eV per cell. The value obtained for the uncorrected formation energy is -1.4270 eV/atom. Its final energy is -50.31 eV/cell. Its crystal system is tetragonal.

POSCAR file:
```
ZnGaOF2
1.0
3.9055 0.0000 0.0000
0.0000 3.9055 0.0000
0.0000 0.0000 4.0074
Zn Ga O F
1 1 1 2
Cartesian
0.0000 0.0000 0.0000 Zn
1.9527 1.9527 2.0037 Ga
0.0000 0.0000 2.0037 O
0.0000 1.9527 0.0000 F
1.9527 0.0000 0.0000 F
```

Ga2OsPbF | SCAN | single point on PBEsol structure

Computed properties:
For the theoretical density, the calculation gives 10.2 g cm⁻³. The density of states at the Fermi level is 2.71 states/eV per cell. The value obtained for the uncorrected formation energy is 0.5253 eV/atom. Its final energy is -181.27 eV/cell. Its crystal system is tetragonal.

POSCAR file:
```
Ga2OsPbF
1.0
4.7005 0.0000 0.0000
0.0000 4.7005 0.0000
0.0000 0.0000 4.1091
Ga Os Pb F
2 1 1 1
Cartesian
0.0000 2.3502 0.0000 Ga
2.3502 0.0000 0.0000 Ga
0.0000 0.0000 2.0545 Os
2.3502 2.3502 2.0545 Pb
0.0000 0.0000 0.0000 F
```

GaP2SF | SCAN | single point on PBEsol structure

Computed properties:
For the theoretical density, the calculation gives 3.1 g cm⁻³. The density of states at the Fermi level is 2.80 states/eV per cell. The value obtained for the uncorrected formation energy is 0.7682 eV/atom. Its final energy is -46.47 eV/cell. Its crystal system is tetragonal.

POSCAR file:
```
GaP2SF
1.0
4.6388 0.0000 0.0000
0.0000 4.6388 0.0000
0.0000 0.0000 4.5456
Ga P S F
1 2 1 1
Cartesian
0.0000 0.0000 0.0000 Ga
0.0000 2.3194 0.0000 P
2.3194 0.0000 0.0000 P
0.0000 0.0000 2.2728 S
2.3194 2.3194 2.2728 F
```

GaPbF5 | SCAN | single point on PBEsol structure

Computed properties:
For the theoretical density, the calculation gives 6.4 g cm⁻³. The density of states at the Fermi level is 0.00 states/eV per cell. The value obtained for the uncorrected formation energy is -2.6574 eV/atom. Its final energy is -1027.44 eV/cell. Its crystal system is tetragonal.

POSCAR file:
```
GaPbF5
1.0
-7.2362 7.2362 3.7029
7.2362 -7.2362 3.7029
7.2362 7.2362 -3.7029
Ga Pb F
8 8 40
Cartesian
0.0000 0.0000 0.0000 Ga
4.5574 -2.4141 1.8411 Ga
7.2362 0.0000 1.8380 Ga
9.9149 2.4141 1.8411 Ga
0.0000 0.0000 3.6754 Ga
2.4141 4.5574 1.8411 Ga
0.0000 7.2362 1.8380 Ga
-2.4141 9.9149 1.8411 Ga
8.2192 3.7439 -1.8631 Pb
3.7439 6.2531 -1.8631 Pb
3.4922 0.9831 1.8397 Pb
-0.9831 3.4922 1.8397 Pb
6.5647 3.9714 1.8405 Pb
3.2647 -0.6715 5.5434 Pb
3.9714 7.9076 1.8405 Pb
0.6715 3.2647 5.5434 Pb
10.5226 -3.4674 1.8434 F
4.2215 1.4010 -0.5834 F
1.7760 0.6396 -0.0428 F
6.5965 -5.4602 3.6601 F
8.1727 -1.6607 1.8390 F
10.9767 1.5171 0.5438 F
5.7217 3.7349 -0.5619 F
5.4878 -0.6786 1.8366 F
5.8351 -3.0146 3.1195 F
0.0000 0.0000 1.8377 F
8.6406 3.0185 0.5615 F
8.9845 0.6786 1.8366 F
1.5171 3.4956 0.5438 F
3.5013 -1.5145 3.1410 F
6.2996 1.6607 1.8390 F
7.8740 5.4597 0.0153 F
5.4597 6.5983 0.0153 F
3.0185 5.8317 0.5615 F
3.9498 3.4674 1.8434 F
7.2362 0.0000 3.6895 F
-3.4674 3.9498 1.8434 F
3.7349 8.7506 -0.5619 F
1.7764 0.6379 3.7181 F
-0.6379 1.7764 3.7181 F
0.6786 5.4878 1.8366 F
1.4010 10.2508 -0.5834 F
1.5145 3.5013 3.1410 F
4.2176 1.4045 4.2644 F
-1.6607 6.2996 1.8390 F
0.0000 0.0000 5.5406 F
1.6607 8.1727 1.8390 F
3.0146 5.8351 3.1195 F
5.7191 3.7405 4.2467 F
-1.4045 4.2176 4.2644 F
-0.6786 8.9845 1.8366 F
0.6396 12.6963 -0.0428 F
5.4602 6.5965 3.6601 F
-3.7405 5.7191 4.2467 F
3.4674 10.5226 1.8434 F
0.0000 7.2362 3.6895 F
```

GaSiPtF2 | SCAN | single point on PBEsol structure

Computed properties:
For the theoretical density, the calculation gives 7.9 g cm⁻³. The density of states at the Fermi level is 2.37 states/eV per cell. The value obtained for the uncorrected formation energy is -1.3767 eV/atom. Its final energy is -110.52 eV/cell. Its crystal system is tetragonal.

POSCAR file:
```
GaSiPtF2
1.0
3.6934 0.0000 0.0000
0.0000 3.6934 0.0000
0.0000 0.0000 5.0748
Ga Si Pt F
1 1 1 2
Cartesian
0.0000 0.0000 0.0000 Ga
1.8467 1.8467 2.5374 Si
1.8467 1.8467 0.0000 Pt
0.0000 1.8467 2.5374 F
1.8467 0.0000 2.5374 F
```

Rb3GaF6 | SCAN | single point on PBEsol structure

Computed properties:
For the theoretical density, the calculation gives 4.0 g cm⁻³. The density of states at the Fermi level is 0.00 states/eV per cell. The value obtained for the uncorrected formation energy is -2.9707 eV/atom. Its final energy is -129.51 eV/cell. Its crystal system is cubic.

POSCAR file:
```
Rb3GaF6
1.0
0.0000 4.5032 4.5032
4.5032 0.0000 4.5032
4.5032 4.5032 0.0000
Rb Ga F
3 1 6
Cartesian
0.0000 0.0000 0.0000 Rb
2.2516 2.2516 2.2516 Rb
6.7548 6.7548 6.7548 Rb
4.5032 4.5032 4.5032 Ga
4.5032 4.5032 2.5960 F
4.5032 2.5960 4.5032 F
6.4103 4.5032 4.5032 F
2.5960 4.5032 4.5032 F
4.5032 6.4103 4.5032 F
4.5032 4.5032 6.4103 F
```

Question: What is the theoretical density in the sixth record?
Answer: 4.0 g cm⁻³

Question: Which of these has the lowest final energy?
Answer: GaPbF5

Question: Which formula does entry 3 have?
Answer: GaP2SF

What did the second record say?
Ga2OsPbF | SCAN | single point on PBEsol structure

Computed properties:
For the theoretical density, the calculation gives 10.2 g cm⁻³. The density of states at the Fermi level is 2.71 states/eV per cell. The value obtained for the uncorrected formation energy is 0.5253 eV/atom. Its final energy is -181.27 eV/cell. Its crystal system is tetragonal.

POSCAR file:
```
Ga2OsPbF
1.0
4.7005 0.0000 0.0000
0.0000 4.7005 0.0000
0.0000 0.0000 4.1091
Ga Os Pb F
2 1 1 1
Cartesian
0.0000 2.3502 0.0000 Ga
2.3502 0.0000 0.0000 Ga
0.0000 0.0000 2.0545 Os
2.3502 2.3502 2.0545 Pb
0.0000 0.0000 0.0000 F
```